The following is a DFT calculation (PBE) of a geometry-optimized La4Tb4Dy structure.

Structure (POSCAR):
```
La4Tb4Dy
1.0
5.1641 0.0000 0.0000
2.5821 7.7087 0.0000
2.5821 0.0000 7.7087
La Tb Dy
4 4 1
direct
0.6668 0.6664 0.9999
0.3332 0.3336 0.0001
0.6667 0.0001 0.6664
0.3333 0.9999 0.3336
0.6643 0.3358 0.3356
0.3357 0.6642 0.6644
0.9999 0.6644 0.3358
0.0001 0.3356 0.6642
0.0000 0.0000 0.0000
```

Relative energy among the computed polymorphs ... 0.00 eV per formula unit
DFT formation energy ... 0.0255 eV/atom
DOS(E_F) ... 13.7 states/eV/cell
SG ... No. 139


The following is a DFT calculation (PBE) of a geometry-optimized Ba4Tl2Pd structure.

Structure (POSCAR):
```
Ba4Tl2Pd
1.0
4.4302 0.0000 1.3411
1.8479 7.6053 1.8835
-0.2970 0.3760 8.9690
Ba Tl Pd
4 2 1
direct
0.0834 0.1989 0.6343
0.9166 0.8011 0.3657
0.3351 0.2589 0.0709
0.6649 0.7411 0.9291
0.3794 0.5728 0.6683
0.6206 0.4272 0.3317
0.0000 0.0000 0.0000
```

DFT formation energy ... -0.3778 eV/atom
DOS(E_F) ... 5.4 states/eV/cell
SG ... No. 12


The following is a DFT calculation (PBE) of a geometry-optimized Ti2FeAu2 structure.

Structure (POSCAR):
```
Ti2FeAu2
1.0
-1.5113 -1.4126 2.9856
2.3998 -2.7255 -0.0749
4.6078 1.4927 5.2482
Au Fe Ti
2 1 2
direct
0.4020 0.4020 0.1961
0.5980 0.5980 0.8039
0.0000 0.0000 0.0000
0.7500 0.2500 0.5000
0.2500 0.7500 0.5000
```

Relative energy among the computed polymorphs ... 2.11 eV per formula unit
DFT formation energy ... 0.5131 eV/atom
DOS(E_F) ... 6.6 states/eV/cell
SG ... No. 139


> What is the formula in the third record?

Ti2FeAu2


> Among the records above, which one has the lowest DOS(E_F)?

Ba4Tl2Pd


> DOS(E_F) of number 1 (La4Tb4Dy)?

13.7 states/eV/cell


> What is the formula in the third record?

Ti2FeAu2